Here is a geometry-optimized UNiSb3 structure from the Alexandria database. Energies are from PBE.

The space group is Amm2 (No. 38) and the conventional cell measures 4.272, 4.684 and 11.828 Å, with angles of 90.00, 90.00 and 90.00 degrees. Symmetry generates all atoms from U at (0.000, 0.000, 0.000), Ni at (0.000, 0.000, 0.319), Sb at (0.000, 0.000, 0.712), Sb at (0.500, 0.000, 0.191) and Sb at (0.500, 0.000, 0.451).

The total energy is -60.2 eV for the cell shown. The value obtained for the energy relative to the elements, uncorrected is -0.13 eV per atom.

Here is a geometry-optimized Pm3MgIr3 structure from the Alexandria database. Energies are from PBE.

The space group is Cmcm (No. 63) and the conventional cell measures 4.331, 10.446 and 13.999 Å, with angles of 90.00, 90.00 and 90.00 degrees. Symmetry generates all atoms from Pm at (0.000, 0.018, 0.250), Pm at (0.000, 0.301, 0.106), Mg at (0.000, 0.000, 0.000), Ir at (0.000, 0.264, 0.750) and Ir at (0.000, 0.408, 0.593).

The value obtained for the formation energy is -0.662 eV per atom. The total energy is -188.3 eV for the cell shown.

Repeat the second record exactly.
Here is a geometry-optimized Pm3MgIr3 structure from the Alexandria database. Energies are from PBE.

The space group is Cmcm (No. 63) and the conventional cell measures 4.331, 10.446 and 13.999 Å, with angles of 90.00, 90.00 and 90.00 degrees. Symmetry generates all atoms from Pm at (0.000, 0.018, 0.250), Pm at (0.000, 0.301, 0.106), Mg at (0.000, 0.000, 0.000), Ir at (0.000, 0.264, 0.750) and Ir at (0.000, 0.408, 0.593).

The value obtained for the formation energy is -0.662 eV per atom. The total energy is -188.3 eV for the cell shown.

Which formula does entry 2 have? Pm3MgIr3